Material: YZrS2
Method: DFT, PBE
State: relaxed

```
YZrS2
1.0
3.8165 0.0000 0.0000
1.9083 3.3052 0.0000
1.9083 1.1017 6.2000
Y Zr S
1 1 2
direct
0.0000 0.0000 0.0000
0.5000 0.5000 0.5000
0.2464 0.2464 0.2607
0.7536 0.7536 0.7393
```

Computed properties:
The calculation puts the total magnetization at 0.0 μB per cell. As for the density of states at the Fermi level: 0.41 states/eV per atom. As for the space-group type: R-3m, No. 166. The relative energy among the computed polymorphs comes out at 0 meV/atom. The calculation puts the raw formation energy at -1.670 eV per atom.